Entry 1:
{"formula": "Sr2MgTl3", "functional": "PBE", "state": "relaxed", "lattice": [[0.0000, 5.2293, 9.0939], [4.0006, 0.0000, 9.0939], [4.0006, 5.2293, 0.0000]], "species": ["Sr", "Sr", "Sr", "Sr", "Mg", "Mg", "Tl", "Tl", "Tl", "Tl", "Tl", "Tl"], "fractional_positions": [[0.2438, 0.7562, 0.7562], [0.2500, 0.2500, 0.2500], [0.7500, 0.7500, 0.7500], [0.7562, 0.2438, 0.2438], [0.3329, 0.3329, 0.6671], [0.6671, 0.6671, 0.3329], [0.1712, 0.1712, 0.8288], [0.1710, 0.6577, 0.3423], [0.3423, 0.8290, 0.1710], [0.6577, 0.1710, 0.8290], [0.8290, 0.3423, 0.6577], [0.8288, 0.8288, 0.1712]], "energy_ev_per_fu": -13.9, "e_form_ev_per_atom": -0.299, "e_above_lowest_polymorph_mev_per_atom": 23, "magmom_total_mub_per_atom": 0.000, "mass_density_g_cm3": 7.1}



Entry 2:
{"formula": "Sr3Mg2Tl7", "functional": "PBE", "state": "relaxed", "lattice": [[5.0259, 0.0000, 0.0000], [0.0000, 4.8679, 0.0000], [-2.4654, 0.0000, 15.5221]], "species": ["Sr", "Sr", "Sr", "Mg", "Mg", "Tl", "Tl", "Tl", "Tl", "Tl", "Tl", "Tl"], "fractional_positions": [[0.0000, 0.0000, 0.0000], [0.3184, 0.5000, 0.6341], [0.6816, 0.5000, 0.3659], [0.1305, 0.0000, 0.2657], [0.8695, 0.0000, 0.7343], [0.0783, 0.5000, 0.1606], [0.2238, 0.0000, 0.4475], [0.4210, 0.0000, 0.8393], [0.5000, 0.5000, 0.0000], [0.5790, 0.0000, 0.1607], [0.7762, 0.0000, 0.5525], [0.9217, 0.5000, 0.8394]], "energy_ev_per_fu": -27.4, "e_form_ev_per_atom": -0.215, "magmom_total_mub_per_atom": 0.000, "mass_density_g_cm3": 7.6}



Entry 3:
{"formula": "SrMg5Tl6", "functional": "PBE", "state": "relaxed", "lattice": [[2.5987, -7.9676, 0.0000], [2.5987, 7.9676, 0.0000], [0.0000, 0.0000, 7.6362]], "species": ["Sr", "Mg", "Mg", "Mg", "Mg", "Mg", "Tl", "Tl", "Tl", "Tl", "Tl", "Tl"], "fractional_positions": [[0.0000, 0.0000, 0.0000], [0.0000, 0.0000, 0.5000], [0.3288, 0.6712, 0.0000], [0.3312, 0.6688, 0.5000], [0.6688, 0.3312, 0.5000], [0.6712, 0.3288, 0.0000], [0.1714, 0.8286, 0.2609], [0.1714, 0.8286, 0.7391], [0.5000, 0.5000, 0.2769], [0.5000, 0.5000, 0.7231], [0.8286, 0.1714, 0.2609], [0.8286, 0.1714, 0.7391]], "energy_ev_per_fu": -25.2, "e_form_ev_per_atom": -0.109, "magmom_total_mub_per_atom": 0.000, "mass_density_g_cm3": 7.5}